No. 1
VASP calculation (PBE-GGA) on CrIn2Hg after structural relaxation.

```
data_CrIn2Hg
_cell_length_a 3.203
_cell_length_b 3.203
_cell_length_c 8.468
_cell_angle_alpha 90.00
_cell_angle_beta 90.00
_cell_angle_gamma 90.00
_symmetry_space_group_name_H-M 'P 4/m m m'
_symmetry_Int_Tables_number 123
_symmetry_space_group_name_Hall '-P 4 2'
loop_
_atom_site_label
_atom_site_type_symbol
_atom_site_fract_x
_atom_site_fract_y
_atom_site_fract_z
_atom_site_occupancy
Cr1 Cr 0.000 0.000 0.000 1
In1 In 0.500 0.500 0.210 1
Hg1 Hg 0.000 0.000 0.500 1
```

Summary:
Final energy: -0.13116 Ha/atom
Crystal system: tetragonal

No. 2
VASP calculation (PBE-GGA) on Cr2InHg after structural relaxation.

```
data_Cr2InHg
_cell_length_a 7.591
_cell_length_b 7.591
_cell_length_c 6.056
_cell_angle_alpha 90.00
_cell_angle_beta 90.00
_cell_angle_gamma 90.00
_symmetry_space_group_name_H-M 'I -4 2 d'
_symmetry_Int_Tables_number 122
_symmetry_space_group_name_Hall 'I -4 2bw'
loop_
_atom_site_label
_atom_site_type_symbol
_atom_site_fract_x
_atom_site_fract_y
_atom_site_fract_z
_atom_site_occupancy
Cr1 Cr 0.246 0.250 0.125 1
In1 In 0.000 0.000 0.500 1
Hg1 Hg 0.000 0.000 0.000 1
```

Summary:
Final energy: -0.17632 Ha/atom
Crystal system: tetragonal

No. 3
VASP calculation (PBE-GGA) on CrIn2HgIr after structural relaxation.

```
data_CrIn2HgIr
_cell_length_a 5.085
_cell_length_b 5.085
_cell_length_c 5.024
_cell_angle_alpha 90.00
_cell_angle_beta 90.00
_cell_angle_gamma 90.00
_symmetry_space_group_name_H-M 'P 4/m m m'
_symmetry_Int_Tables_number 123
_symmetry_space_group_name_Hall '-P 4 2'
loop_
_atom_site_label
_atom_site_type_symbol
_atom_site_fract_x
_atom_site_fract_y
_atom_site_fract_z
_atom_site_occupancy
Cr1 Cr 0.000 0.000 0.000 1
In1 In 0.000 0.500 0.000 1
Hg1 Hg 0.000 0.000 0.500 1
Ir1 Ir 0.500 0.500 0.500 1
```

Summary:
Final energy: -0.13146 Ha/atom
Crystal system: tetragonal

No. 4
VASP calculation (PBE-GGA) on CrIn2HgN after structural relaxation.

```
data_CrIn2HgN
_cell_length_a 5.569
_cell_length_b 5.569
_cell_length_c 5.333
_cell_angle_alpha 90.00
_cell_angle_beta 90.00
_cell_angle_gamma 90.00
_symmetry_space_group_name_H-M 'P 4/m m m'
_symmetry_Int_Tables_number 123
_symmetry_space_group_name_Hall '-P 4 2'
loop_
_atom_site_label
_atom_site_type_symbol
_atom_site_fract_x
_atom_site_fract_y
_atom_site_fract_z
_atom_site_occupancy
Cr1 Cr 0.000 0.000 0.000 1
In1 In 0.000 0.500 0.500 1
Hg1 Hg 0.000 0.000 0.500 1
N1 N 0.500 0.500 0.000 1
```

Summary:
Uncorrected formation energy: 1.64 eV/atom
Crystal system: tetragonal

No. 5
VASP calculation (PBE-GGA) on NbCrIn2Hg after structural relaxation.

```
data_NbCrIn2Hg
_cell_length_a 4.991
_cell_length_b 4.991
_cell_length_c 5.033
_cell_angle_alpha 90.00
_cell_angle_beta 90.00
_cell_angle_gamma 90.00
_symmetry_space_group_name_H-M 'P 4/m m m'
_symmetry_Int_Tables_number 123
_symmetry_space_group_name_Hall '-P 4 2'
loop_
_atom_site_label
_atom_site_type_symbol
_atom_site_fract_x
_atom_site_fract_y
_atom_site_fract_z
_atom_site_occupancy
Nb1 Nb 0.000 0.000 0.000 1
Cr1 Cr 0.500 0.500 0.500 1
In1 In 0.000 0.500 0.500 1
Hg1 Hg 0.500 0.500 0.000 1
```

Summary:
Final energy: -0.14598 Ha/atom
Crystal system: tetragonal